# Li2InW2 | Alexandria | GGA-PBEsol | relaxed
data_Li2InW2
_cell_length_a 3.6391
_cell_length_b 3.6391
_cell_length_c 7.2997
_cell_angle_alpha 104.43
_cell_angle_beta 104.43
_cell_angle_gamma 90.00
_space_group_name_H-M_alt 'P 1'
_space_group_IT_number 1
loop_
_space_group_symop_operation_xyz
'x,y,z'
loop_
_atom_site_label
_atom_site_type_symbol
_atom_site_fract_x
_atom_site_fract_y
_atom_site_fract_z
Li1 Li 0.7500 0.2500 0.5000
Li2 Li 0.2500 0.7500 0.5000
W1 W 0.4155 0.4155 0.8310
W2 W 0.5845 0.5845 0.1690
In1 In 0.0000 0.0000 0.0000
# **ΔE_f**: 1.0235 eV per atom